--- 1 ---
The following is a DFT calculation (PBE) of crystalline NaCF3 at its relaxed geometry.

Lattice parameters (Å, degrees): 3.814 3.814 3.814 90.00 90.00 90.00
Space group Pm-3m (No. 221)
Unique sites:
1 Na 0.000 0.000 0.000 (multiplicity 1)
2 C 0.500 0.500 0.500 (multiplicity 1)
3 F 0.000 0.500 0.500 (multiplicity 3)

Output
Magnetization (μB per formula unit): 0.000
N(E_F) (states/eV/cell): 0.0
Crystal system: cubic



--- 2 ---
The following is a DFT calculation (PBE) of crystalline NaCF3 at its relaxed geometry.

Lattice parameters (Å, degrees): 4.086 4.086 4.086 90.00 90.00 90.00
Space group Pm-3m (No. 221)
Unique sites:
1 Na 0.000 0.000 0.000 (multiplicity 1)
2 C 0.500 0.500 0.500 (multiplicity 1)
3 F 0.000 0.000 0.500 (multiplicity 3)

Output
Magnetization (μB per formula unit): 0.000
N(E_F) (states/eV/cell): 0.0
Crystal system: cubic



Least stable of them? 2.



--- 1 ---
The following is a DFT calculation (PBE) of crystalline NaC2F at its relaxed geometry.

Lattice parameters (Å, degrees): 5.806 5.806 5.806 90.00 90.00 90.00
Space group Fm-3m (No. 225)
Unique sites:
1 Na 0.000 0.000 0.000 (multiplicity 4)
2 C 0.250 0.250 0.250 (multiplicity 8)
3 F 0.000 0.000 0.500 (multiplicity 4)

Output
Magnetization (μB per formula unit): 1.928
N(E_F) (states/eV/cell): 15.4
Crystal system: cubic



--- 2 ---
The following is a DFT calculation (PBE) of crystalline NaC2F at its relaxed geometry.

Lattice parameters (Å, degrees): 2.770 2.770 27.958 90.00 90.00 90.00
Space group I4_1/amd (No. 141, origin choice 2)
Unique sites:
1 Na 0.000 0.250 0.375 (multiplicity 4)
2 C 0.000 0.000 0.000 (multiplicity 8)
3 F 0.000 0.250 0.875 (multiplicity 4)

Output
Magnetization (μB per formula unit): 0.000
N(E_F) (states/eV/cell): 1.8
Crystal system: tetragonal



Least stable of them? 1.



--- 1 ---
The following is a DFT calculation (PBE) of crystalline NaCF2 at its relaxed geometry.

Lattice parameters (Å, degrees): 4.384 4.384 11.883 90.00 90.00 90.00
Space group I-42d (No. 122)
Unique sites:
1 Na 0.000 0.000 0.000 (multiplicity 4)
2 C 0.000 0.000 0.500 (multiplicity 4)
3 F 0.196 0.250 0.625 (multiplicity 8)

Output
Magnetization (μB per formula unit): 1.000
N(E_F) (states/eV/cell): 0.2
Crystal system: tetragonal



--- 2 ---
The following is a DFT calculation (PBE) of crystalline NaCF2 at its relaxed geometry.

Lattice parameters (Å, degrees): 5.593 5.593 5.593 90.00 90.00 90.00
Space group Fm-3m (No. 225)
Unique sites:
1 Na 0.000 0.000 0.000 (multiplicity 4)
2 C 0.000 0.000 0.500 (multiplicity 4)
3 F 0.250 0.250 0.250 (multiplicity 8)

Output
Magnetization (μB per formula unit): 1.000
N(E_F) (states/eV/cell): 9.5
Crystal system: cubic



Least stable of them? 2.



--- 1 ---
The following is a DFT calculation (PBE) of crystalline Na2CF at its relaxed geometry.

Lattice parameters (Å, degrees): 6.202 6.202 6.202 90.00 90.00 90.00
Space group Fm-3m (No. 225)
Unique sites:
1 Na 0.250 0.250 0.250 (multiplicity 8)
2 C 0.000 0.000 0.000 (multiplicity 4)
3 F 0.000 0.000 0.500 (multiplicity 4)

Output
Magnetization (μB per formula unit): 3.000
N(E_F) (states/eV/cell): 0.0
Crystal system: cubic



--- 2 ---
The following is a DFT calculation (PBE) of crystalline Na2CF at its relaxed geometry.

Lattice parameters (Å, degrees): 6.233 6.233 7.962 90.00 90.00 90.00
Space group I-42d (No. 122)
Unique sites:
1 Na 0.202 0.750 0.125 (multiplicity 8)
2 C 0.000 0.000 0.500 (multiplicity 4)
3 F 0.000 0.000 0.000 (multiplicity 4)

Output
Magnetization (μB per formula unit): 3.000
N(E_F) (states/eV/cell): 0.0
Crystal system: tetragonal



Least stable of them? 1.



--- 1 ---
The following is a DFT calculation (PBE) of crystalline NaCOF2 at its relaxed geometry.

Lattice parameters (Å, degrees): 4.148 4.148 4.347 90.00 90.00 90.00
Space group P4/mmm (No. 123)
Unique sites:
1 Na 0.000 0.000 0.000 (multiplicity 1)
2 C 0.500 0.500 0.500 (multiplicity 1)
3 O 0.000 0.000 0.500 (multiplicity 1)
4 F 0.000 0.500 0.000 (multiplicity 2)

Output
Magnetization (μB per formula unit): 1.000
N(E_F) (states/eV/cell): 5.4
Crystal system: tetragonal



--- 2 ---
The following is a DFT calculation (PBE) of crystalline NaCOF2 at its relaxed geometry.

Lattice parameters (Å, degrees): 4.176 4.176 2.871 90.00 90.00 90.00
Space group P4/mmm (No. 123)
Unique sites:
1 Na 0.000 0.000 0.000 (multiplicity 1)
2 C 0.500 0.500 0.500 (multiplicity 1)
3 O 0.500 0.500 0.000 (multiplicity 1)
4 F 0.000 0.500 0.500 (multiplicity 2)

Output
Magnetization (μB per formula unit): 0.007
N(E_F) (states/eV/cell): 0.8
Crystal system: tetragonal



Least stable of them? 1.



--- 1 ---
The following is a DFT calculation (PBE) of crystalline NbCF2 at its relaxed geometry.

Lattice parameters (Å, degrees): 2.9418 2.9418 28.3041 90.00 90.00 120.00
Space group R-3m (No. 166, hexagonal axes)
Unique sites:
1 Nb 0.0000 0.0000 0.0000 (multiplicity 3)
2 C 0.0000 0.0000 0.5000 (multiplicity 3)
3 F 0.0000 0.0000 0.0669 (multiplicity 6)

Output
Magnetization (μB per formula unit): 0.795
N(E_F) (states/eV/cell): 8.3
Crystal system: trigonal



--- 2 ---
The following is a DFT calculation (PBE) of crystalline NbCF2 at its relaxed geometry.

Lattice parameters (Å, degrees): 7.987 7.987 3.989 90.00 90.00 90.00
Space group I-42d (No. 122)
Unique sites:
1 Nb 0.000 0.000 0.000 (multiplicity 4)
2 C 0.000 0.000 0.500 (multiplicity 4)
3 F 0.069 0.250 0.125 (multiplicity 8)

Output
Magnetization (μB per formula unit): 0.000
N(E_F) (states/eV/cell): 8.5
Crystal system: tetragonal



Least stable of them? 1.



--- 1 ---
The following is a DFT calculation (PBE) of crystalline NbCF2 at its relaxed geometry.

Lattice parameters (Å, degrees): 5.441 5.441 5.441 90.00 90.00 90.00
Space group Fm-3m (No. 225)
Unique sites:
1 Nb 0.000 0.000 0.000 (multiplicity 4)
2 C 0.000 0.000 0.500 (multiplicity 4)
3 F 0.250 0.250 0.250 (multiplicity 8)

Output
Magnetization (μB per formula unit): 0.000
N(E_F) (states/eV/cell): 8.5
Crystal system: cubic



--- 2 ---
The following is a DFT calculation (PBE) of crystalline NbCF2 at its relaxed geometry.

Lattice parameters (Å, degrees): 2.7479 2.7479 28.4170 90.00 90.00 120.00
Space group R-3m (No. 166, hexagonal axes)
Unique sites:
1 Nb 0.0000 0.0000 0.0000 (multiplicity 3)
2 C 0.0000 0.0000 0.5000 (multiplicity 3)
3 F 0.0000 0.0000 0.3872 (multiplicity 6)

Output
Magnetization (μB per formula unit): 0.000
N(E_F) (states/eV/cell): 5.4
Crystal system: trigonal



Least stable of them? 2.



--- 1 ---
The following is a DFT calculation (PBE) of crystalline NbC2F at its relaxed geometry.

Lattice parameters (Å, degrees): 4.704 4.704 10.785 90.00 90.00 90.00
Space group I-42d (No. 122)
Unique sites:
1 Nb 0.000 0.000 0.000 (multiplicity 4)
2 C 0.209 0.250 0.125 (multiplicity 8)
3 F 0.000 0.000 0.500 (multiplicity 4)

Output
Magnetization (μB per formula unit): 0.000
N(E_F) (states/eV/cell): 10.9
Crystal system: tetragonal



--- 2 ---
The following is a DFT calculation (PBE) of crystalline NbC2F at its relaxed geometry.

Lattice parameters (Å, degrees): 5.453 5.453 5.453 90.00 90.00 90.00
Space group Fm-3m (No. 225)
Unique sites:
1 Nb 0.000 0.000 0.000 (multiplicity 4)
2 C 0.250 0.250 0.250 (multiplicity 8)
3 F 0.000 0.000 0.500 (multiplicity 4)

Output
Magnetization (μB per formula unit): 0.002
N(E_F) (states/eV/cell): 20.0
Crystal system: cubic



Least stable of them? 2.